No. 1
This record from Alexandria describes a PBEsol-optimized structure of SiRhSe3. The functional is SCAN.

formation energy from raw total energies: 649 meV/atom
crystal system: cubic
space group: Pm-3m (221)
N(E_F): 1.26 states/eV per atom
calculated volume: 109.8 Å³/cell

```
SiRhSe3
1.0
4.7889 0.0000 0.0000
0.0000 4.7889 0.0000
0.0000 0.0000 4.7889
Se Si Rh
3 1 1
Cartesian
2.3944 0.0000 0.0000
0.0000 0.0000 2.3944
0.0000 2.3944 0.0000
2.3944 2.3944 2.3944
0.0000 0.0000 0.0000
```

No. 2
This record from Alexandria describes a PBEsol-optimized structure of SiRhSe. The functional is SCAN.

formation energy from raw total energies: -183 meV/atom
crystal system: trigonal
space group: P3m1 (156)
N(E_F): 0.68 states/eV per atom
calculated volume: 46.3 Å³/cell

```
SiRhSe
1.0
-2.2839 0.5047 -2.2112
1.9777 -2.5245 -0.2762
-3.2923 -2.8794 2.7433
Rh Si Se
1 1 1
Cartesian
-0.0856 -0.0749 0.0713
-1.9091 -1.4196 -0.6949
-1.6038 -3.4047 0.8794
```

No. 3
This record from Alexandria describes a PBEsol-optimized structure of SiRhSe. The functional is SCAN.

formation energy from raw total energies: 32 meV/atom
crystal system: tetragonal
space group: I4mm (107)
N(E_F): 0.62 states/eV per atom
calculated volume: 46.3 Å³/cell

```
SiRhSe
1.0
-0.4858 2.5353 -1.2663
-1.7993 -1.2688 -1.8500
-3.1189 0.3004 5.0623
Se Rh Si
1 1 1
Cartesian
-2.4809 0.9265 -0.4576
-5.2606 1.5355 1.8281
-3.0664 0.6719 2.5215
```

No. 4
This record from Alexandria describes a PBEsol-optimized structure of SrRhSe. The functional is SCAN.

formation energy from raw total energies: -1077 meV/atom
crystal system: hexagonal
space group: P-6m2 (187)
N(E_F): 0.68 states/eV per atom
calculated volume: 66.3 Å³/cell

```
SrRhSe
1.0
4.2118 0.0000 0.0000
-2.1059 3.6475 0.0000
0.0000 0.0000 4.3188
Rh Se Sr
1 1 1
Cartesian
0.0000 0.0000 0.0000
0.0000 2.4317 0.0000
2.1059 1.2158 2.1594
```

No. 5
This record from Alexandria describes a PBEsol-optimized structure of SrRhSe2. The functional is SCAN.

formation energy from raw total energies: -585 meV/atom
crystal system: trigonal
space group: R-3m (166)
N(E_F): 0.27 states/eV per atom
calculated volume: 106.0 Å³/cell

```
SrRhSe2
1.0
3.8451 0.0000 0.0000
1.9225 3.3300 0.0000
1.9225 1.1100 8.2766
Se Rh Sr
2 1 1
Cartesian
1.9225 1.1100 5.3035
5.7676 3.3300 2.9730
3.8451 2.2200 4.1383
0.0000 0.0000 0.0000
```

No. 6
This record from Alexandria describes a PBEsol-optimized structure of SrRhSe. The functional is SCAN.

formation energy from raw total energies: -27 meV/atom
crystal system: cubic
space group: F-43m (216)
N(E_F): 0.79 states/eV per atom
calculated volume: 76.7 Å³/cell

```
SrRhSe
1.0
4.7699 0.0000 0.0000
2.3849 4.1308 0.0000
2.3849 1.3769 3.8946
Rh Se Sr
1 1 1
Cartesian
0.0000 0.0000 0.0000
4.7699 2.7539 1.9473
2.3849 1.3769 0.9736
```

No. 7
This record from Alexandria describes a PBEsol-optimized structure of SrRhSe. The functional is SCAN.

formation energy from raw total energies: -566 meV/atom
crystal system: tetragonal
space group: I4mm (107)
N(E_F): 0.85 states/eV per atom
calculated volume: 65.2 Å³/cell

```
SrRhSe
1.0
3.5466 0.0000 0.0000
0.0000 3.5466 0.0000
-1.7733 -1.7733 5.1835
Se Sr Rh
1 1 1
Cartesian
0.0000 0.0000 3.9693
1.7733 1.7733 1.7328
1.7733 1.7733 4.6649
```

No. 8
This record from Alexandria describes a PBEsol-optimized structure of SrRhSe2. The functional is SCAN.

formation energy from raw total energies: -477 meV/atom
crystal system: tetragonal
space group: P4/mmm (123)
N(E_F): 0.75 states/eV per atom
calculated volume: 80.7 Å³/cell

```
SrRhSe2
1.0
-0.9685 -0.3508 -3.2198
-1.2455 -3.0619 0.7083
-6.2457 2.9021 1.5626
Se Rh Sr
2 1 1
Cartesian
-4.4073 2.0479 1.1026
-1.8384 0.8542 0.4599
-4.2299 -0.2553 -0.4744
-1.1070 -1.7063 -1.2557
```

No. 9
This record from Alexandria describes a PBEsol-optimized structure of SrRhSe3. The functional is SCAN.

formation energy from raw total energies: 822 meV/atom
crystal system: cubic
space group: Pm-3m (221)
N(E_F): 1.16 states/eV per atom
calculated volume: 169.5 Å³/cell

```
SrRhSe3
1.0
5.5345 0.0000 0.0000
0.0000 5.5345 0.0000
0.0000 0.0000 5.5345
Se Rh Sr
3 1 1
Cartesian
0.0000 2.7673 0.0000
2.7673 0.0000 0.0000
0.0000 0.0000 2.7673
2.7673 2.7673 2.7673
0.0000 0.0000 0.0000
```

No. 10
This record from Alexandria describes a PBEsol-optimized structure of SrRh2Se. The functional is SCAN.

formation energy from raw total energies: -44 meV/atom
crystal system: tetragonal
space group: P4/mmm (123)
N(E_F): 0.50 states/eV per atom
calculated volume: 72.9 Å³/cell

```
SrRh2Se
1.0
-0.9271 -2.8436 0.9805
-0.0486 -1.0118 -2.9801
7.0275 -2.0865 0.5939
Sr Se Rh
1 1 2
Cartesian
3.0259 -2.9709 -0.7028
-0.4878 -1.9277 -0.9998
5.6670 -1.6825 0.4789
1.3605 -0.4039 0.1150
```

No. 11
This record from Alexandria describes a PBEsol-optimized structure of SrRhSe2. The functional is SCAN.

formation energy from raw total energies: -1046 meV/atom
crystal system: trigonal
space group: R-3m (166)
N(E_F): 0.52 states/eV per atom
calculated volume: 86.1 Å³/cell

```
SrRhSe2
1.0
-3.6182 0.5935 1.8258
-3.4296 0.1076 -2.2368
-2.9711 -5.6243 0.5348
Sr Se Rh
1 2 1
Cartesian
-5.0094 -2.4616 0.0619
-7.5586 -4.1114 0.1408
-2.4602 -0.8119 -0.0171
0.0000 0.0000 0.0000
```

No. 12
This record from Alexandria describes a PBEsol-optimized structure of Ta2RhSe. The functional is SCAN.

formation energy from raw total energies: -328 meV/atom
crystal system: orthorhombic
space group: Amm2 (38)
N(E_F): 0.45 states/eV per atom
calculated volume: 70.1 Å³/cell

```
Ta2RhSe
1.0
3.1812 0.0000 0.0000
0.0000 3.1980 0.0000
0.0000 -1.5990 6.8887
Ta Rh Se
2 1 1
Cartesian
1.5906 0.0000 4.1589
0.0000 1.5990 6.0270
0.0000 1.5990 2.9110
1.5906 1.5990 0.6219
```

No. 13
This record from Alexandria describes a PBEsol-optimized structure of Ta2RhSe. The functional is SCAN.

formation energy from raw total energies: -318 meV/atom
crystal system: tetragonal
space group: P4mm (99)
N(E_F): 0.63 states/eV per atom
calculated volume: 66.3 Å³/cell

```
Ta2RhSe
1.0
0.0070 -2.7428 1.7714
1.5620 -1.5525 -2.4105
5.4571 1.6227 2.4910
Rh Ta Se
1 2 1
Cartesian
2.8794 0.8562 1.3144
0.1106 0.0329 0.0505
4.7065 -0.9814 1.4707
2.0582 -1.7689 0.2619
```

No. 14
This record from Alexandria describes a PBEsol-optimized structure of Ta2RhSe. The functional is SCAN.

formation energy from raw total energies: -92 meV/atom
crystal system: orthorhombic
space group: Immm (71)
N(E_F): 0.59 states/eV per atom
calculated volume: 64.6 Å³/cell

```
Ta2RhSe
1.0
-3.5418 0.0094 -0.6594
0.6830 -2.7450 -3.7080
1.0070 -1.7424 4.4083
Ta Se Rh
2 1 1
Cartesian
-1.6302 -2.8466 -1.1259
-0.2216 -1.6314 1.1669
0.3415 -1.3725 -1.8540
-1.7709 0.0047 -0.3297
```

No. 15
This record from Alexandria describes a PBEsol-optimized structure of TaRhSe3. The functional is SCAN.

formation energy from raw total energies: 484 meV/atom
crystal system: cubic
space group: Pm-3m (221)
N(E_F): 1.37 states/eV per atom
calculated volume: 118.7 Å³/cell

```
TaRhSe3
1.0
-2.1585 -2.3668 3.7268
4.3987 -0.7995 2.0400
-0.3762 4.2319 2.4697
Se Ta Rh
3 1 1
Cartesian
-1.0793 -1.1834 1.8634
2.1994 -0.3997 1.0200
-0.1881 2.1159 1.2348
0.0000 0.0000 0.0000
0.9320 0.5328 4.1182
```

No. 16
This record from Alexandria describes a PBEsol-optimized structure of TaRh2Se. The functional is SCAN.

formation energy from raw total energies: -377 meV/atom
crystal system: tetragonal
space group: P4/mmm (123)
N(E_F): 0.46 states/eV per atom
calculated volume: 61.6 Å³/cell

```
TaRh2Se
1.0
3.3728 0.0000 0.0000
0.0000 3.3728 0.0000
0.0000 0.0000 5.4191
Se Rh Ta
1 2 1
Cartesian
1.6864 1.6864 0.0000
0.0000 0.0000 1.4035
0.0000 0.0000 4.0156
1.6864 1.6864 2.7096
```

No. 17
This record from Alexandria describes a PBEsol-optimized structure of TcRhSe2. The functional is SCAN.

formation energy from raw total energies: -95 meV/atom
crystal system: tetragonal
space group: P4mm (99)
N(E_F): 0.66 states/eV per atom
calculated volume: 68.8 Å³/cell

```
TcRhSe2
1.0
3.0081 0.0000 0.0000
0.0000 3.0081 0.0000
0.0000 0.0000 7.5981
Tc Rh Se
1 1 2
Cartesian
0.0000 0.0000 3.7856
1.5041 1.5041 5.7321
1.5041 1.5041 2.4673
0.0000 0.0000 7.0102
```

No. 18
This record from Alexandria describes a PBEsol-optimized structure of TcRhSe2. The functional is SCAN.

formation energy from raw total energies: 243 meV/atom
crystal system: orthorhombic
space group: Imm2 (44)
N(E_F): 0.89 states/eV per atom
calculated volume: 62.3 Å³/cell

```
TcRhSe2
1.0
-0.6054 -2.0330 2.1844
-0.1960 -3.1199 -2.9580
5.0520 1.7719 0.9271
Se Tc Rh
2 1 1
Cartesian
4.1549 -3.3644 0.1424
2.1832 -1.4465 1.3810
4.4395 -0.7679 0.5157
2.3750 -1.9877 -1.1917
```

No. 19
This record from Alexandria describes a PBEsol-optimized structure of TcRhSe2. The functional is SCAN.

formation energy from raw total energies: 579 meV/atom
crystal system: orthorhombic
space group: Cmmm (65)
N(E_F): 1.22 states/eV per atom
calculated volume: 63.3 Å³/cell

```
TcRhSe2
1.0
-1.2804 -1.8637 -1.9471
0.5417 -0.9003 2.7919
-7.4087 2.6838 2.3030
Tc Rh Se
1 1 2
Cartesian
-4.3445 0.4101 0.1779
-0.6402 -0.9318 -0.9736
-1.8816 0.6816 0.5849
-5.5271 2.0021 1.7181
```

No. 20
This record from Alexandria describes a PBEsol-optimized structure of TcRhSe2. The functional is SCAN.

formation energy from raw total energies: 446 meV/atom
crystal system: tetragonal
space group: I-4m2 (119)
N(E_F): 1.02 states/eV per atom
calculated volume: 60.6 Å³/cell

```
TcRhSe2
1.0
3.6828 0.0000 0.0000
0.0000 3.6828 0.0000
-1.8414 -1.8414 4.4653
Rh Se Tc
1 2 1
Cartesian
0.0000 1.8414 2.2326
1.8414 0.0000 2.2326
0.0000 0.0000 0.0000
1.8414 1.8414 0.0000
```